A relaxed structure of ZnCu2Ge. Source: Alexandria via LeMat-Bulk, functional PBE-GGA.

Unit cell a=8.9302 b=8.9302 c=8.9302 alpha=155.47 beta=155.47 gamma=34.96
With the nearest neighbours (Å) after each atom.
Positions (direct):
Zn: 0.0000 0.0000 0.0000  4 Cu 2.53, 4 Ge 2.68
Zn: 0.7500 0.2500 0.5000  4 Cu 2.53, 4 Ge 2.68
Cu: 0.1333 0.6250 0.0083  2 Ge 2.50, 2 Zn 2.53, 4 Cu 2.64-2.73
Cu: 0.3750 0.3833 0.5083  2 Ge 2.50, 2 Zn 2.53, 4 Cu 2.64-2.73
Cu: 0.6167 0.1250 0.9917  2 Ge 2.50, 2 Zn 2.53, 4 Cu 2.64-2.73
Cu: 0.8750 0.8667 0.4917  2 Ge 2.50, 2 Zn 2.53, 4 Cu 2.64-2.73
Ge: 0.2500 0.7500 0.5000  4 Cu 2.50, 4 Zn 2.68
Ge: 0.5000 0.5000 0.0000  4 Cu 2.50, 4 Zn 2.68

Properties
- DFT total energy: -26.7 eV per cell
- M_tot: 0.0 μB/cell
- Energy of formation from the pure elements: 0.187 eV/atom
- V: 122.6 Å³/cell
- DOS(E_F): 2.764 states/eV/cell
- Crystal system: tetragonal

A relaxed structure of Sc3NiBr3. Source: Alexandria via LeMat-Bulk, functional PBE-GGA.

Unit cell a=8.2234 b=3.7773 c=11.0645 alpha=90.00 beta=92.22 gamma=90.00
With the nearest neighbours (Å) after each atom.
Positions (direct):
Sc: 0.0918 0.2500 0.3168  1 Ni 2.55, 4 Br 2.76-2.81
Sc: 0.1472 0.2500 0.8645  3 Ni 2.57-2.61, 1 Br 2.84
Sc: 0.2604 0.7500 0.0988  2 Ni 2.55, 1 Br 2.82
Sc: 0.7396 0.2500 0.9012  2 Ni 2.55, 1 Br 2.82
Sc: 0.8528 0.7500 0.1355  3 Ni 2.57-2.61, 1 Br 2.84
Sc: 0.9082 0.7500 0.6832  1 Ni 2.55, 4 Br 2.76-2.81
Ni: 0.0526 0.2500 0.0867  6 Sc 2.55-2.61, 2 Ni 2.81
Ni: 0.9474 0.7500 0.9132  6 Sc 2.55-2.61, 2 Ni 2.81
Br: 0.1369 0.2500 0.6080  3 Sc 2.81-2.84
Br: 0.3344 0.7500 0.3496  3 Sc 2.76-2.82
Br: 0.4158 0.7500 0.8702  3 Sc 2.88-2.90
Br: 0.5842 0.2500 0.1298  3 Sc 2.88-2.90
Br: 0.6656 0.2500 0.6504  3 Sc 2.76-2.82
Br: 0.8631 0.7500 0.3920  3 Sc 2.81-2.84

Properties
- DFT total energy: -75.6 eV per cell
- M_tot: 0.4 μB/cell
- E_form (uncorrected): -1142 meV/atom
- V: 343.4 Å³/cell
- DOS(E_F): 7.452 states/eV/cell
- Crystal system: monoclinic

A relaxed structure of Tl17In11Au. Source: Alexandria via LeMat-Bulk, functional PBE-GGA.

Unit cell a=10.4106 b=10.4106 c=10.2231 alpha=109.18 beta=109.18 gamma=109.96
With the nearest neighbours (Å) after each atom.
Positions (direct):
Tl: 0.0000 0.0000 0.0000  5 In 3.28-3.57, 7 Tl 3.49-3.64
Tl: 0.0018 0.6095 0.3924  3 In 3.26-3.41, 6 Tl 3.46-3.61
Tl: 0.0370 0.7215 0.1072  5 In 3.27-3.64, 7 Tl 3.45-3.63
Tl: 0.3201 0.3201 0.7098  1 Au 3.57, 11 In 3.58-3.67, 4 Tl 3.72-3.73
Tl: 0.3238 0.6791 0.7099  4 Tl 3.42-3.72, 5 In 3.46-3.61, 1 Au 3.62
Tl: 0.3250 0.3250 0.0777  4 Tl 3.44-3.73, 6 In 3.56-3.68, 1 Au 3.63
Tl: 0.3277 0.9323 0.0356  3 In 3.24-3.36, 6 Tl 3.48-3.60
Tl: 0.3286 0.6450 0.3255  1 Au 3.28, 3 In 3.29-3.55, 7 Tl 3.44-3.63
Tl: 0.6095 0.0018 0.3924  3 In 3.26-3.41, 6 Tl 3.46-3.61
Tl: 0.6389 0.9354 0.7156  4 In 3.23-3.45, 7 Tl 3.42-3.58
Tl: 0.6450 0.3286 0.3255  1 Au 3.28, 3 In 3.29-3.55, 7 Tl 3.44-3.63
Tl: 0.6791 0.3238 0.7099  4 Tl 3.42-3.72, 5 In 3.46-3.61, 1 Au 3.62
Tl: 0.7075 0.7075 0.4416  1 Au 3.12, 4 Tl 3.47-3.48
Tl: 0.7215 0.0370 0.1072  5 In 3.27-3.64, 7 Tl 3.45-3.63
Tl: 0.9323 0.3277 0.0356  3 In 3.24-3.36, 6 Tl 3.48-3.60
Tl: 0.9354 0.6389 0.7156  4 In 3.23-3.45, 7 Tl 3.42-3.58
Tl: 0.9578 0.9578 0.3572  4 Tl 3.45-3.72, 8 In 3.55-3.82
In: 0.1341 0.9555 0.7175  3 In 3.05-3.24, 2 Tl 3.23-3.35
In: 0.1404 0.3274 0.3501  1 Au 2.90, 2 In 3.04-3.19, 1 Tl 3.24
In: 0.1537 0.5154 0.9104  3 In 3.06-3.24, 3 Tl 3.27-3.39
In: 0.3195 0.9574 0.5290  3 In 3.04-3.20, 3 Tl 3.29-3.39
In: 0.3274 0.1404 0.3501  1 Au 2.90, 2 In 3.04-3.19, 1 Tl 3.24
In: 0.5133 0.6939 0.0758  3 In 3.06-3.33, 2 Tl 3.26-3.33
In: 0.5154 0.1537 0.9104  3 In 3.06-3.24, 3 Tl 3.27-3.39
In: 0.6715 0.6715 0.8401  1 Au 2.83
In: 0.6939 0.5133 0.0758  3 In 3.06-3.33, 2 Tl 3.26-3.33
In: 0.9555 0.1341 0.7175  3 In 3.05-3.24, 2 Tl 3.23-3.35
In: 0.9574 0.3195 0.5290  3 In 3.04-3.20, 3 Tl 3.29-3.39
Au: 0.4807 0.4807 0.5040  3 In 2.83-2.90, 1 Tl 3.12

Properties
- DFT total energy: -73.6 eV per cell
- M_tot: 0.0 μB/cell
- Energy of formation from the pure elements: 0.002 eV/atom
- V: 853.8 Å³/cell
- DOS(E_F): 13.685 states/eV/cell
- Crystal system: monoclinic

A relaxed structure of La5YAs6. Source: Alexandria via LeMat-Bulk, functional PBE-GGA.

Unit cell a=7.5106 b=7.5106 c=7.5097 alpha=99.60 beta=99.60 gamma=120.00
With the nearest neighbours (Å) after each atom.
Positions (direct):
La: 0.0000 0.0000 0.0000  6 As 3.06-3.12
La: 0.1663 0.8337 0.5000  6 As 3.07
La: 0.3325 0.6675 0.0000  6 As 3.06-3.12
La: 0.6675 0.3325 0.0000  6 As 3.06-3.12
La: 0.8337 0.1663 0.5000  6 As 3.07
Y: 0.5000 0.5000 0.5000  6 As 3.01
As: 0.0915 0.4182 0.2544  1 Y 3.01, 5 La 3.06-3.12
As: 0.2557 0.2557 0.7464  1 Y 3.01, 5 La 3.07-3.12
As: 0.4182 0.0915 0.2544  1 Y 3.01, 5 La 3.06-3.12
As: 0.5818 0.9085 0.7456  1 Y 3.01, 5 La 3.06-3.12
As: 0.7443 0.7443 0.2536  1 Y 3.01, 5 La 3.07-3.12
As: 0.9085 0.5818 0.7456  1 Y 3.01, 5 La 3.06-3.12

Properties
- DFT total energy: -77.8 eV per cell
- M_tot: 0.0 μB/cell
- Energy of formation from the pure elements: -1.563 eV/atom
- V: 345.9 Å³/cell
- DOS(E_F): 0.561 states/eV/cell
- Crystal system: monoclinic

A relaxed structure of Ag2PCl. Source: Alexandria via LeMat-Bulk, functional PBE-GGA.

Unit cell a=7.4435 b=7.4435 c=7.4435 alpha=154.86 beta=152.93 gamma=37.28
With the nearest neighbours (Å) after each atom.
Positions (direct):
Ag: 0.0000 0.0000 0.0000  4 P 2.64, 2 Cl 2.90
Ag: 0.7224 0.2224 0.5000  2 P 2.57, 4 Cl 2.86
P: 0.5812 0.5812 0.0000  6 Ag 2.57-2.64
Cl: 0.3354 0.8354 0.5000  6 Ag 2.86-2.90

Properties
- DFT total energy: -12.8 eV per cell
- M_tot: 0.0 μB/cell
- E_form (uncorrected): 50 meV/atom
- V: 79.6 Å³/cell
- DOS(E_F): 0.981 states/eV/cell
- Crystal system: orthorhombic

A relaxed structure of LaBe3Pt. Source: Alexandria via LeMat-Bulk, functional PBE-GGA.

Unit cell a=3.5987 b=6.4719 c=6.4719 alpha=37.31 beta=90.00 gamma=90.00
With the nearest neighbours (Å) after each atom.
Positions (direct):
La: 0.0000 0.0000 0.0000  4 Be 3.03-3.05, 4 Pt 3.12
Be: 0.0000 0.4885 0.9783  4 Be 2.03-2.23
Be: 0.0000 0.9783 0.4885  4 Be 2.03-2.23
Be: 0.5000 0.8014 0.8014  1 Pt 2.20, 4 Be 2.23
Pt: 0.5000 0.6219 0.6219  1 Be 2.20

Properties
- DFT total energy: -21.8 eV per cell
- M_tot: 0.0 μB/cell
- Energy of formation from the pure elements: 0.065 eV/atom
- V: 91.4 Å³/cell
- DOS(E_F): 2.479 states/eV/cell
- Crystal system: orthorhombic